No. 1
Compound: IrRhCl
Source: Alexandria via LeMat-Bulk
Functional: GGA-PBE
Structure: optimized geometry

total magnetization = 0.0 Bohr magnetons per cell
energy relative to the lowest polymorph listed for this composition = 138 meV/atom
crystal system = tetragonal
density = 10991 kg/m3
N(E_F) = 3.92 states/eV/f.u.
final energy = -5.394 eV/atom
E_form (uncorrected) = 0.63 eV/atom

POSCAR file:
```
IrRhCl
1.0
6.443 0.190 0.000
5.065 3.987 0.000
-5.754 -2.089 2.020
Cl Ir Rh
1 1 1
Direct
0.024 0.024 0.000
0.306 0.306 0.000
0.670 0.670 0.000
```

---

No. 2
Compound: Ba2Pb
Source: Alexandria via LeMat-Bulk
Functional: GGA-PBE
Structure: optimized geometry

total magnetization = 0.0 Bohr magnetons per cell
crystal system = hexagonal
density = 5767 kg/m3
N(E_F) = 0.20 states/eV/f.u.
final energy = -3.033 eV/atom
ΔE_f = -0.52 eV per atom

POSCAR file:
```
Ba2Pb
1.0
-5.750 -7.014 -2.375
8.577 -1.879 3.287
-1.977 -0.105 5.097
Ba Pb
6 3
Direct
0.258 0.000 0.000
0.000 0.258 0.000
0.742 0.742 0.000
0.585 0.000 0.500
0.000 0.585 0.500
0.415 0.415 0.500
0.333 0.667 0.000
0.667 0.333 0.000
0.000 0.000 0.500
```

---

What did the second record say?
Compound: Ba2Pb
Source: Alexandria via LeMat-Bulk
Functional: GGA-PBE
Structure: optimized geometry

total magnetization = 0.0 Bohr magnetons per cell
crystal system = hexagonal
density = 5767 kg/m3
N(E_F) = 0.20 states/eV/f.u.
final energy = -3.033 eV/atom
ΔE_f = -0.52 eV per atom

POSCAR file:
```
Ba2Pb
1.0
-5.750 -7.014 -2.375
8.577 -1.879 3.287
-1.977 -0.105 5.097
Ba Pb
6 3
Direct
0.258 0.000 0.000
0.000 0.258 0.000
0.742 0.742 0.000
0.585 0.000 0.500
0.000 0.585 0.500
0.415 0.415 0.500
0.333 0.667 0.000
0.667 0.333 0.000
0.000 0.000 0.500
```